MnAg6Au2, relaxed, DFT GGA-PBE; ΔE_f = 0.01 eV per atom; energy = -32.7 eV per formula unit; D(E_F) = 0.32 states/eV per atom
1.0
-0.728 3.258 -2.348
-6.321 -0.658 1.046
2.825 2.159 5.667
Ag Au Mn
6 2 1
direct
0.389 0.833 0.779
0.722 0.833 0.444
0.278 0.167 0.556
0.167 0.501 0.333
0.611 0.167 0.221
0.833 0.499 0.667
0.053 0.820 0.105
0.947 0.180 0.895
0.500 0.500 0.000

=====

MnAgAu4, relaxed, DFT GGA-PBE; ΔE_f = -0.04 eV per atom; energy = -25.4 eV per formula unit; ΔE to the lowest computed polymorph = 0 meV/atom; D(E_F) = 0.39 states/eV per atom
1.0
-0.756 3.218 -0.973
-3.179 -0.360 1.281
2.831 3.048 7.885
Au Mn Ag
4 1 1
direct
0.000 0.000 0.342
0.000 0.000 0.658
0.500 0.500 0.171
0.500 0.500 0.829
0.500 0.500 0.500
0.000 0.000 0.000